DFT (PBE-GGA) results for a relaxed structure of Ce2IrSe.

Values from the calculation:
The total energy comes out at -7.291 eV per atom. The uncorrected formation energy is -1238 meV per atom. The value obtained for the energy above the most stable polymorph in this dataset is 0.002 eV/atom.

Cell and atoms, written as POSCAR:
```
Ce2IrSe
1.0
-3.524 -0.492 -4.700
3.135 -1.318 -2.213
-1.822 -8.042 2.210
Ce Ir Se
4 2 2
direct
0.701 0.733 0.225 Ce
0.701 0.733 0.765 Ce
0.201 0.233 0.451 Ce
0.201 0.233 0.991 Ce
0.201 0.733 0.227 Ir
0.701 0.233 0.989 Ir
0.201 0.733 0.716 Se
0.701 0.233 0.500 Se
```

---

DFT (PBE-GGA) results for a relaxed structure of Y3As2N.

Values from the calculation:
The total energy comes out at -7.461 eV per atom. The uncorrected formation energy is -1292 meV per atom.

Cell and atoms, written as POSCAR:
```
Y3As2N
1.0
6.439 0.000 0.000
0.000 6.650 0.010
0.000 -2.174 6.285
Y As N
6 4 2
direct
0.250 0.369 0.369 Y
0.750 0.631 0.631 Y
0.500 0.154 0.846 Y
0.000 0.154 0.846 Y
0.500 0.846 0.154 Y
0.000 0.846 0.154 Y
0.750 0.482 0.160 As
0.250 0.518 0.840 As
0.250 0.840 0.518 As
0.750 0.160 0.482 As
0.750 0.920 0.920 N
0.250 0.080 0.080 N
```